Here is a relaxed WC3O crystal from the Alexandria database. Energies are from PBE with a Hubbard U.

Cell: 4.136 4.136 4.136 Å, 90.00 90.00 90.00°
Element x y z (fractional)
W  0.000  0.000  0.000
C  0.000  0.000  0.500
C  0.000  0.500  0.000
C  0.500  0.000  0.000
O  0.500  0.500  0.500

Output
magnetic moment	1.6	μB per cell
volume	14.15	A^3/atom
distance to the lowest polymorph of the same formula	0	meV per atom
SG	Pm-3m, No. 221
mass density	5.53	g cm⁻³